{
  "formula": "CsCaTlSiSe",
  "functional": "PBE",
  "state": "relaxed",
  "lattice_angstrom": [[-0.605, -4.727, 0.356], [-0.208, 1.057, -5.901], [6.460, 0.936, 1.889]],
  "species": ["Se", "Ca", "Si", "Tl", "Cs"],
  "fractional_positions": [[0.500, 0.475, 0.810], [0.153, 0.708, 0.018], [0.162, 0.146, 0.892], [0.510, 0.940, 0.612], [0.844, 0.351, 0.352]],
  "de_polymorph_mev_per_atom": 280,
  "dos_at_fermi_per_ev_cell": 0.96,
  "total_magnetization_mub_per_cell": 0.00,
  "e_form_raw_ev_per_atom": -0.383,
  "mass_density_g_cm3": 4.7,
  "spacegroup": "No. 1"
}